No. 1
A plane-wave DFT calculation with GGA-PBE was carried out for Nd4Sb3Se after structural relaxation.

Cell: 7.719 7.714 8.938 Å, 90.00 90.00 109.50°
Element x y z (fractional)
Sb1 0.250 0.500 0.876
Nd1 0.999 0.755 0.877
Nd2 0.497 0.248 0.372
Nd3 0.503 0.752 0.628
Se1 0.750 0.000 0.877
Sb2 0.250 0.000 0.626
Sb3 0.750 0.500 0.124
Nd4 0.501 0.245 0.877
Nd5 0.499 0.755 0.123
Nd6 0.997 0.248 0.628
Sb4 0.750 0.500 0.626
Nd7 0.001 0.245 0.123
Se2 0.250 0.000 0.123
Sb5 0.750 0.000 0.374
Nd8 0.003 0.752 0.372
Sb6 0.250 0.500 0.374

## Properties
Symmetry: No. 13
VASP energy in eV for the cell shown: -91.7
Uncorrected formation energy in eV/atom: -1.367
Total moment in μB per cell: 0.0
D(E_F) in states/eV/atom: 0.10

---

No. 2
A plane-wave DFT calculation with GGA-PBE was carried out for ThBiF after structural relaxation.

Cell: 4.493 4.322 4.322 Å, 120.00 90.00 90.00°
Element x y z (fractional)
Bi1 0.667 0.333 0.667
Th1 0.167 0.000 0.000
F1 0.167 0.667 0.333

## Properties
Symmetry: No. 187
VASP energy in eV for the cell shown: -19.2
Uncorrected formation energy in eV/atom: -2.001
Total moment in μB per cell: 0.0
D(E_F) in states/eV/atom: 0.16

---

No. 3
A plane-wave DFT calculation with GGA-PBE was carried out for NaBi2IrO8 after structural relaxation.

Cell: 5.024 4.856 6.821 Å, 90.00 90.00 89.23°
Element x y z (fractional)
O1 0.148 0.774 0.794
Bi1 0.500 0.500 0.254
O2 0.852 0.226 0.206
O3 0.342 0.281 0.500
O4 0.686 0.767 0.000
O5 0.314 0.233 0.000
O6 0.658 0.719 0.500
Ir1 0.000 0.000 0.000
Na1 0.000 0.000 0.500
Bi2 0.500 0.500 0.746
O7 0.852 0.226 0.794
O8 0.148 0.774 0.206

## Properties
Symmetry: No. 10
VASP energy in eV for the cell shown: -67.8
Uncorrected formation energy in eV/atom: -0.851
Total moment in μB per cell: 0.0
D(E_F) in states/eV/atom: 0.48

---

No. 4
A plane-wave DFT calculation with GGA-PBE was carried out for Rb2TaGeBr6 after structural relaxation.

Cell: 7.827 7.827 7.842 Å, 60.06 60.06 90.00°
Element x y z (fractional)
Br1 0.240 0.240 0.520
Ge1 0.500 0.500 0.000
Br2 0.760 0.760 0.480
Br3 0.241 0.759 0.000
Rb1 0.750 0.250 0.500
Ta1 0.000 0.000 0.000
Br4 0.759 0.241 0.000
Rb2 0.250 0.750 0.500
Br5 0.759 0.759 0.000
Br6 0.241 0.241 0.000

## Properties
Symmetry: No. 139
VASP energy in eV for the cell shown: -37.0
Uncorrected formation energy in eV/atom: -0.860
Total moment in μB per cell: 3.0
D(E_F) in states/eV/atom: 0.42

---

No. 5
A plane-wave DFT calculation with GGA-PBE was carried out for La2TiP2 after structural relaxation.

Cell: 7.399 7.399 4.227 Å, 90.00 90.00 90.00°
Element x y z (fractional)
P1 0.841 0.659 0.000
P2 0.341 0.841 0.000
P3 0.159 0.341 0.000
La1 0.156 0.656 0.500
Ti1 0.000 0.000 0.000
La2 0.344 0.156 0.500
P4 0.659 0.159 0.000
La3 0.656 0.844 0.500
La4 0.844 0.344 0.500
Ti2 0.500 0.500 0.000

## Properties
Symmetry: No. 127
VASP energy in eV for the cell shown: -67.4
Total moment in μB per cell: 3.7
D(E_F) in states/eV/atom: 0.88
Formation energy from the elements in eV/atom: -1.029

---

No. 6
A plane-wave DFT calculation with GGA-PBE was carried out for SrFe2ReP after structural relaxation.

Cell: 4.640 5.055 4.640 Å, 90.00 90.00 90.00°
Element x y z (fractional)
Sr1 0.000 0.000 0.000
P1 0.500 0.500 0.500
Re1 0.000 0.500 0.000
Fe1 0.500 0.000 0.000
Fe2 0.000 0.000 0.500

## Properties
Symmetry: No. 123
VASP energy in eV for the cell shown: -21.7
Total moment in μB per cell: 7.2
D(E_F) in states/eV/atom: 1.71
Formation energy from the elements in eV/atom: 2.945

---

No. 7
A plane-wave DFT calculation with GGA-PBE was carried out for La3In7Rh2 after structural relaxation.

Cell: 5.044 5.036 12.808 Å, 101.34 90.00 90.00°
Element x y z (fractional)
In1 0.500 0.909 0.818
In2 0.000 0.783 0.566
In3 0.000 0.217 0.434
La1 0.500 0.315 0.630
La2 0.500 0.685 0.370
In4 0.000 0.000 0.000
La3 0.500 0.500 0.000
Rh1 0.000 0.111 0.223
In5 0.000 0.591 0.182
Rh2 0.000 0.889 0.777
In6 0.000 0.409 0.818
In7 0.500 0.091 0.182

## Properties
Symmetry: No. 65
VASP energy in eV for the cell shown: -53.7
Total moment in μB per cell: 0.0
D(E_F) in states/eV/atom: 0.70
Formation energy from the elements in eV/atom: -0.420

---

No. 8
A plane-wave DFT calculation with GGA-PBE was carried out for YPaS4 after structural relaxation.

Cell: 4.072 7.687 6.912 Å, 115.77 90.00 105.36°
Element x y z (fractional)
S1 0.396 0.793 0.721
Pa1 0.500 0.000 0.500
S2 0.895 0.790 0.245
Y1 0.000 0.000 0.000
S3 0.604 0.207 0.279
S4 0.105 0.210 0.755

## Properties
Symmetry: No. 12
VASP energy in eV for the cell shown: -43.0
Uncorrected formation energy in eV/atom: -1.761
Total moment in μB per cell: 0.0
D(E_F) in states/eV/atom: 0.00

---

No. 9
A plane-wave DFT calculation with GGA-PBE was carried out for NaAl3Ir after structural relaxation.

Cell: 4.808 4.808 4.808 Å, 90.00 90.00 90.00°
Element x y z (fractional)
Al1 0.500 0.000 0.000
Ir1 0.000 0.000 0.000
Al2 0.000 0.500 0.000
Na1 0.500 0.500 0.500
Al3 0.000 0.000 0.500

## Properties
Symmetry: No. 221
VASP energy in eV for the cell shown: -22.6
Total moment in μB per cell: 0.0
D(E_F) in states/eV/atom: 0.41
Formation energy from the elements in eV/atom: -0.245

---

No. 10
A plane-wave DFT calculation with GGA-PBE was carried out for SrMg2Tl6 after structural relaxation.

Cell: 9.668 9.668 9.668 Å, 60.00 60.00 60.00°
Element x y z (fractional)
Tl1 0.747 0.253 0.253
Tl2 0.253 0.253 0.747
Tl3 0.997 0.503 0.997
Tl4 0.747 0.747 0.253
Tl5 0.997 0.997 0.503
Mg1 0.625 0.125 0.125
Tl6 0.503 0.503 0.997
Tl7 0.503 0.997 0.503
Tl8 0.253 0.747 0.253
Tl9 0.997 0.503 0.503
Mg2 0.125 0.125 0.625
Mg3 0.125 0.125 0.125
Sr1 0.500 0.500 0.500
Mg4 0.125 0.625 0.125
Tl10 0.747 0.253 0.747
Sr2 0.750 0.750 0.750
Tl11 0.253 0.747 0.747
Tl12 0.503 0.997 0.997

## Properties
Symmetry: No. 227
VASP energy in eV for the cell shown: -35.8
Total moment in μB per cell: 0.0
D(E_F) in states/eV/atom: 0.60
Formation energy from the elements in eV/atom: 0.128

---

No. 11
A plane-wave DFT calculation with GGA-PBE was carried out for Pm7Pr3Y after structural relaxation.

Cell: 5.995 8.629 8.629 Å, 82.79 110.30 110.30°
Element x y z (fractional)
Pm1 0.207 0.208 0.208
Pr1 0.500 0.000 0.000
Y1 0.500 0.500 0.500
Pm2 0.701 0.403 0.998
Pm3 0.299 0.002 0.597
Pr2 0.000 0.789 0.211
Pm4 0.000 0.500 0.500
Pm5 0.701 0.998 0.403
Pr3 0.000 0.211 0.789
Pm6 0.793 0.792 0.792
Pm7 0.299 0.597 0.002

## Properties
Symmetry: No. 71
VASP energy in eV for the cell shown: -51.5
Total moment in μB per cell: 0.1
D(E_F) in states/eV/atom: 1.50
Formation energy from the elements in eV/atom: 0.232